HgCl3 | Alexandria | PBE | optimized geometry; DFT total energy = -1.5613 eV per atom; N(E_F) = 5.37 states/eV/f.u.; volume = 29.8 Å³ per atom; ΔE_f (raw) = -101 meV per atom
1.0
9.2689 -0.0270 -0.0160
8.4529 3.8027 -0.0160
8.4529 1.8010 3.3493
Hg Cl
1 3
Direct
0.0000 0.0000 0.0000
0.7221 0.7221 0.7221
0.5000 0.5000 0.5000
0.2779 0.2779 0.2779

***

Hg2Cl | Alexandria | PBE | optimized geometry; DFT total energy = -1.0608 eV per atom; N(E_F) = 1.49 states/eV/f.u.; volume = 27.8 Å³ per atom; ΔE_f (raw) = -244 meV per atom; distance to the lowest polymorph of the same formula = 84 meV per atom
1.0
5.0376 -3.2954 1.5163
6.1804 0.1780 0.5537
3.8842 0.9227 7.9410
Hg Cl
4 2
Direct
0.1392 0.1392 0.7593
0.8623 0.8623 0.6246
0.1377 0.1377 0.3754
0.8608 0.8608 0.2407
0.4329 0.4329 0.8575
0.5671 0.5671 0.1425

***

Hg3Cl2 | Alexandria | PBE | optimized geometry; DFT total energy = -1.2296 eV per atom; N(E_F) = 0.22 states/eV/f.u.; volume = 33.4 Å³ per atom; ΔE_f (raw) = -310 meV per atom; distance to the lowest polymorph of the same formula = 86 meV per atom
1.0
-2.8775 8.2487 -9.0730
-6.3252 6.3426 -8.8546
-5.5596 9.3243 -6.3866
Hg Cl
3 2
Direct
0.0000 0.0000 0.0000
0.7981 0.7981 0.7981
0.2019 0.2019 0.2019
0.3734 0.3734 0.3734
0.6266 0.6266 0.6266

***

Hg3Cl2 | Alexandria | PBE | optimized geometry; DFT total energy = -1.3160 eV per atom; N(E_F) = 0.00 states/eV/f.u.; volume = 33.4 Å³ per atom; ΔE_f (raw) = -396 meV per atom; distance to the lowest polymorph of the same formula = 0 meV per atom
1.0
0.0000 8.4430 9.0025
2.1946 0.0000 9.0025
2.1946 8.4430 0.0000
Hg Cl
6 4
Direct
0.9392 0.2733 0.5010
0.2865 0.5010 0.2733
0.9767 0.3108 0.9635
0.7490 0.9635 0.3108
0.9332 0.0668 0.0668
0.1832 0.3168 0.3168
0.2763 0.7431 0.4158
0.5648 0.4158 0.7431
0.5069 0.9737 0.6852
0.8342 0.6852 0.9737